# InMo2Pt2 | the Alexandria database | PBEsol | relaxed
# magnetic moment: 0.00 Bohr magnetons per cell
# ΔH_f (0 K): 0.02 eV/atom
data_InMo2Pt2
_symmetry_space_group_name_H-M 'I 4/m m m'
_symmetry_Int_Tables_number 139
_symmetry_space_group_name_Hall '-I 4 2'
_cell_length_a 3.5644
_cell_length_b 3.5644
_cell_length_c 13.5370
_cell_angle_alpha 90.00
_cell_angle_beta 90.00
_cell_angle_gamma 90.00
loop_
_atom_site_label
_atom_site_type_symbol
_atom_site_fract_x
_atom_site_fract_y
_atom_site_fract_z
In1 In 0.0000 0.0000 0.0000
Mo1 Mo 0.0000 0.5000 0.2500
Pt1 Pt 0.0000 0.0000 0.4013

---

# Rb3InMo | the Alexandria database | PBEsol | relaxed
# magnetic moment: 5.56 Bohr magnetons per cell
# ΔH_f (0 K): 1.38 eV/atom
data_Rb3InMo
_symmetry_space_group_name_H-M 'P m -3 m'
_symmetry_Int_Tables_number 221
_symmetry_space_group_name_Hall '-P 4 2 3'
_cell_length_a 6.8061
_cell_length_b 6.8061
_cell_length_c 6.8061
_cell_angle_alpha 90.00
_cell_angle_beta 90.00
_cell_angle_gamma 90.00
loop_
_atom_site_label
_atom_site_type_symbol
_atom_site_fract_x
_atom_site_fract_y
_atom_site_fract_z
Rb1 Rb 0.0000 0.0000 0.5000
In1 In 0.0000 0.0000 0.0000
Mo1 Mo 0.5000 0.5000 0.5000

---

# Rb2YInMo | the Alexandria database | PBEsol | relaxed
# magnetic moment: 3.42 Bohr magnetons per cell
# ΔH_f (0 K): 1.48 eV/atom
data_Rb2YInMo
_symmetry_space_group_name_H-M 'P 4/m m m'
_symmetry_Int_Tables_number 123
_symmetry_space_group_name_Hall '-P 4 2'
_cell_length_a 6.3244
_cell_length_b 6.3244
_cell_length_c 5.3766
_cell_angle_alpha 90.00
_cell_angle_beta 90.00
_cell_angle_gamma 90.00
loop_
_atom_site_label
_atom_site_type_symbol
_atom_site_fract_x
_atom_site_fract_y
_atom_site_fract_z
Rb1 Rb 0.0000 0.5000 0.0000
Y1 Y 0.0000 0.0000 0.5000
In1 In 0.5000 0.5000 0.5000
Mo1 Mo 0.5000 0.5000 0.0000

---

# InReMo2 | the Alexandria database | PBEsol | relaxed
# magnetic moment: 0.00 Bohr magnetons per cell
# ΔH_f (0 K): 0.30 eV/atom
data_InReMo2
_symmetry_space_group_name_H-M 'R -3 m'
_symmetry_Int_Tables_number 166
_symmetry_space_group_name_Hall '-R 3 2"'
_cell_length_a 2.8533
_cell_length_b 2.8533
_cell_length_c 27.6156
_cell_angle_alpha 90.00
_cell_angle_beta 90.00
_cell_angle_gamma 120.00
loop_
_atom_site_label
_atom_site_type_symbol
_atom_site_fract_x
_atom_site_fract_y
_atom_site_fract_z
In1 In 0.0000 0.0000 0.0000
Re1 Re 0.0000 0.0000 0.5000
Mo1 Mo 0.0000 0.0000 0.2446

---

# In2ReMo | the Alexandria database | PBEsol | relaxed
# magnetic moment: 0.00 Bohr magnetons per cell
# ΔH_f (0 K): 0.57 eV/atom
# relative energy among the computed polymorphs: 0.0 meV per atom
data_In2ReMo
_symmetry_space_group_name_H-M 'R -3 m'
_symmetry_Int_Tables_number 166
_symmetry_space_group_name_Hall '-R 3 2"'
_cell_length_a 2.9445
_cell_length_b 2.9445
_cell_length_c 27.7662
_cell_angle_alpha 90.00
_cell_angle_beta 90.00
_cell_angle_gamma 120.00
loop_
_atom_site_label
_atom_site_type_symbol
_atom_site_fract_x
_atom_site_fract_y
_atom_site_fract_z
In1 In 0.0000 0.0000 0.2492
Re1 Re 0.0000 0.0000 0.5000
Mo1 Mo 0.0000 0.0000 0.0000

---

# In2ReMo | the Alexandria database | PBEsol | relaxed
# magnetic moment: 0.00 Bohr magnetons per cell
# ΔH_f (0 K): 0.60 eV/atom
# relative energy among the computed polymorphs: 39.0 meV per atom
data_In2ReMo
_symmetry_space_group_name_H-M 'C m m m'
_symmetry_Int_Tables_number 65
_symmetry_space_group_name_Hall '-C 2 2'
_cell_length_a 3.2516
_cell_length_b 4.6798
_cell_length_c 9.1433
_cell_angle_alpha 90.00
_cell_angle_beta 90.00
_cell_angle_gamma 90.00
loop_
_atom_site_label
_atom_site_type_symbol
_atom_site_fract_x
_atom_site_fract_y
_atom_site_fract_z
In1 In 0.0000 0.0000 0.2491
Re1 Re 0.0000 0.5000 0.0000
Mo1 Mo 0.0000 0.5000 0.5000

---

# In2ReMo | the Alexandria database | PBEsol | relaxed
# magnetic moment: 0.00 Bohr magnetons per cell
# ΔH_f (0 K): 0.68 eV/atom
# relative energy among the computed polymorphs: 118.2 meV per atom
data_In2ReMo
_symmetry_space_group_name_H-M 'F m -3 m'
_symmetry_Int_Tables_number 225
_symmetry_space_group_name_Hall '-F 4 2 3'
_cell_length_a 6.4886
_cell_length_b 6.4886
_cell_length_c 6.4886
_cell_angle_alpha 90.00
_cell_angle_beta 90.00
_cell_angle_gamma 90.00
loop_
_atom_site_label
_atom_site_type_symbol
_atom_site_fract_x
_atom_site_fract_y
_atom_site_fract_z
In1 In 0.2500 0.2500 0.2500
Re1 Re 0.0000 0.0000 0.0000
Mo1 Mo 0.0000 0.0000 0.5000

---

# InReMo | the Alexandria database | PBEsol | relaxed
# magnetic moment: 0.00 Bohr magnetons per cell
# ΔH_f (0 K): 0.38 eV/atom
data_InReMo
_symmetry_space_group_name_H-M 'F m m 2'
_symmetry_Int_Tables_number 42
_symmetry_space_group_name_Hall 'F 2 -2'
_cell_length_a 3.0492
_cell_length_b 4.7276
_cell_length_c 13.9216
_cell_angle_alpha 90.00
_cell_angle_beta 90.00
_cell_angle_gamma 90.00
loop_
_atom_site_label
_atom_site_type_symbol
_atom_site_fract_x
_atom_site_fract_y
_atom_site_fract_z
In1 In 0.0000 0.0000 0.0000
Re1 Re 0.0000 0.0000 0.3247
Mo1 Mo 0.0000 0.0000 0.6754

---

# In2ReMo | the Alexandria database | PBEsol | relaxed
# magnetic moment: 0.00 Bohr magnetons per cell
# ΔH_f (0 K): 0.59 eV/atom
# relative energy among the computed polymorphs: 25.9 meV per atom
data_In2ReMo
_symmetry_space_group_name_H-M 'I m m m'
_symmetry_Int_Tables_number 71
_symmetry_space_group_name_Hall '-I 2 2'
_cell_length_a 3.2075
_cell_length_b 4.7063
_cell_length_c 9.2277
_cell_angle_alpha 90.00
_cell_angle_beta 90.00
_cell_angle_gamma 90.00
loop_
_atom_site_label
_atom_site_type_symbol
_atom_site_fract_x
_atom_site_fract_y
_atom_site_fract_z
In1 In 0.0000 0.0000 0.2468
Re1 Re 0.0000 0.5000 0.5000
Mo1 Mo 0.0000 0.5000 0.0000

---

# In2ReMo | the Alexandria database | PBEsol | relaxed
# magnetic moment: 0.00 Bohr magnetons per cell
# ΔH_f (0 K): 0.59 eV/atom
# relative energy among the computed polymorphs: 26.5 meV per atom
data_In2ReMo
_symmetry_space_group_name_H-M 'C 1 2/m 1'
_symmetry_Int_Tables_number 12
_symmetry_space_group_name_Hall '-C 2y'
_cell_length_a 5.6847
_cell_length_b 9.1775
_cell_length_c 2.8493
_cell_angle_alpha 90.00
_cell_angle_beta 110.70
_cell_angle_gamma 90.00
loop_
_atom_site_label
_atom_site_type_symbol
_atom_site_fract_x
_atom_site_fract_y
_atom_site_fract_z
In1 In 0.2500 0.2500 0.0000
Re1 Re 0.0000 0.0000 0.5000
Mo1 Mo 0.0000 0.5000 0.5000

---

# In2ReMo | the Alexandria database | PBEsol | relaxed
# magnetic moment: 0.04 Bohr magnetons per cell
# ΔH_f (0 K): 0.66 eV/atom
# relative energy among the computed polymorphs: 97.7 meV per atom
data_In2ReMo
_symmetry_space_group_name_H-M 'P 4/m m m'
_symmetry_Int_Tables_number 123
_symmetry_space_group_name_Hall '-P 4 2'
_cell_length_a 3.9967
_cell_length_b 3.9967
_cell_length_c 4.3505
_cell_angle_alpha 90.00
_cell_angle_beta 90.00
_cell_angle_gamma 90.00
loop_
_atom_site_label
_atom_site_type_symbol
_atom_site_fract_x
_atom_site_fract_y
_atom_site_fract_z
In1 In 0.0000 0.5000 0.0000
Re1 Re 0.0000 0.0000 0.5000
Mo1 Mo 0.5000 0.5000 0.5000

---

# In2ReMo | the Alexandria database | PBEsol | relaxed
# magnetic moment: 0.00 Bohr magnetons per cell
# ΔH_f (0 K): 0.67 eV/atom
# relative energy among the computed polymorphs: 102.5 meV per atom
data_In2ReMo
_symmetry_space_group_name_H-M 'P m m m'
_symmetry_Int_Tables_number 47
_symmetry_space_group_name_Hall '-P 2 2'
_cell_length_a 2.8956
_cell_length_b 4.3094
_cell_length_c 5.5699
_cell_angle_alpha 90.00
_cell_angle_beta 90.00
_cell_angle_gamma 90.00
loop_
_atom_site_label
_atom_site_type_symbol
_atom_site_fract_x
_atom_site_fract_y
_atom_site_fract_z
In1 In 0.0000 0.0000 0.2490
Re1 Re 0.5000 0.5000 0.0000
Mo1 Mo 0.5000 0.5000 0.5000